! Sc4GeAuN2 GGA-PBE relaxed; values from VASP
&SYSTEM
  ibrav = 0, nat = 8, ntyp = 4
/
ATOMIC_SPECIES
Sc 44.96 Sc.upf
Ge 72.64 Ge.upf
Au 196.97 Au.upf
N 14.01 N.upf
CELL_PARAMETERS angstrom
3.2314 0.0000 0.0000
-1.6157 2.7984 0.0000
0.0000 0.0000 13.8251
ATOMIC_POSITIONS angstrom
Sc 0.0000 0.0000 2.2072
Sc 0.0000 0.0000 11.6179
Sc 1.6157 0.9328 4.6775
Sc 1.6157 0.9328 9.1476
Ge 1.6157 0.9328 0.0000
Au 0.0000 0.0000 6.9125
N 0.0000 1.8656 3.3967
N 0.0000 1.8656 10.4284
! Space group = P-6m2 (187)
! Total magnetization = 0.0004 μB/atom
! Crystal system = hexagonal
! Total DFT energy (no corrections) = -7.497 eV per atom